# 1
CoTeS2: relaxed, PBE-GGA.

- V: 19.25 A^3/atom
- Spin magnetization: 0.0 μB per cell

a = 3.4251 Å, b = 3.4251 Å, c = 22.7418 Å
α = 90.00°, β = 90.00°, γ = 120.00°
Last column: nearest neighbours and their distance in Å.
Space group R-3m (No. 166, hexagonal axes)
Unique sites:
Co: 0.0000 0.0000 0.0000 [3 per cell]  6 S 2.27
Te: 0.0000 0.0000 0.5000 [3 per cell]  2 S 2.68
S: 0.0000 0.0000 0.3821 [6 per cell]  3 Co 2.27

***

# 2
La2SiSnRh6: relaxed, PBE-GGA.

- V: 19.51 A^3/atom
- Spin magnetization: 0.0 μB per cell

a = 5.6693 Å, b = 6.2028 Å, c = 6.7047 Å
α = 78.32°, β = 65.57°, γ = 65.44°
Last column: nearest neighbours and their distance in Å.
Space group P-1 (No. 2)
Unique sites:
La: 0.0128 0.2172 0.2223 [2 per cell]  5 Rh 2.84-3.08
Si: 0.5000 0.0000 0.5000 [1 per cell]  6 Rh 2.39-2.49
Sn: 0.5000 0.5000 0.0000 [1 per cell]  6 Rh 2.65-2.70
Rh: 0.0113 0.2417 0.7262 [2 per cell]  1 Si 2.49, 2 Rh 2.64-2.72, 1 Sn 2.70
Rh: 0.3712 0.4183 0.4282 [2 per cell]  1 Si 2.39, 2 Rh 2.62-2.64, 1 Sn 2.65
Rh: 0.4972 0.8138 0.2191 [2 per cell]  1 Si 2.41, 1 Sn 2.66

***

# 3
La2Ho4In: relaxed, PBE-GGA.

- V: 30.85 A^3/atom
- Spin magnetization: 0.0 μB per cell

a = 5.6319 Å, b = 6.5843 Å, c = 11.9866 Å
α = 90.00°, β = 103.66°, γ = 90.00°
Last column: nearest neighbours and their distance in Å.
Space group P2_1/m (No. 11)
Unique sites:
La: 0.0141 0.2500 0.0274 [2 per cell]  4 Ho 3.23-3.36, 2 La 3.35, 2 In 3.36
La: 0.3043 0.2500 0.6124 [2 per cell]  9 Ho 3.25-3.50
Ho: 0.1392 0.5018 0.2780 [4 per cell]  3 Ho 3.27-3.51, 3 La 3.36-3.50, 2 In 3.44-3.45
Ho: 0.2754 0.7500 0.5443 [2 per cell]  1 In 3.15, 4 La 3.35-3.39, 2 Ho 3.51
Ho: 0.4458 0.2500 0.8913 [2 per cell]  3 La 3.23-3.25, 3 In 3.41-3.42
In: 0.4068 0.7500 0.8149 [2 per cell]  8 Ho 3.15-3.45, 2 La 3.36

***

# 4
Ba2C: relaxed, PBE-GGA.

- V: 34.28 A^3/atom
- Spin magnetization: 1.6 μB per cell

a = 3.6487 Å, b = 3.6487 Å, c = 15.4498 Å
α = 90.00°, β = 90.00°, γ = 90.00°
Last column: nearest neighbours and their distance in Å.
Space group I4/mmm (No. 139)
Unique sites:
Ba: 0.0000 0.0000 0.1032 [4 per cell]  4 C 3.03, 1 Ba 3.19
C: 0.0000 0.0000 0.5000 [2 per cell]  8 Ba 3.03

***

# 5
BiAsO3: relaxed, PBE-GGA.

- V: 16.95 A^3/atom
- Spin magnetization: 0.0 μB per cell

a = 4.2324 Å, b = 5.7720 Å, c = 6.9587 Å
α = 90.00°, β = 94.40°, γ = 90.00°
Last column: nearest neighbours and their distance in Å.
Space group P2_1/m (No. 11)
Unique sites:
Bi: 0.1501 0.2500 0.3270 [2 per cell]  3 O 2.20-2.23
As: 0.3919 0.2500 0.8276 [2 per cell]  3 O 1.75-1.85
O: 0.1296 0.2500 0.0107 [2 per cell]  1 As 1.75
O: 0.2355 0.0128 0.6692 [4 per cell]  1 As 1.85

***

# 6
MgPa2WN6: relaxed, PBE-GGA.

- V: 13.94 A^3/atom
- Spin magnetization: 0.0 μB per cell

a = 5.2613 Å, b = 5.2613 Å, c = 5.0354 Å
α = 90.00°, β = 90.00°, γ = 90.00°
Last column: nearest neighbours and their distance in Å.
Space group P4mm (No. 99)
Unique sites:
Mg: 0.0000 0.0000 0.0000 [1 per cell]  5 N 2.04-2.11
Pa: 0.0000 0.5000 0.4250 [2 per cell]  4 N 2.24
W: 0.5000 0.5000 0.0238 [1 per cell]  5 N 1.87-1.96
N: 0.0000 0.0000 0.5940 [1 per cell]  1 Mg 2.04
N: 0.2575 0.2575 0.1757 [4 per cell]  1 W 1.96, 1 Mg 2.11
N: 0.5000 0.5000 0.6521 [1 per cell]  1 W 1.87

***

| no. | E (Ry per atom) |
| --- | --- |
| 1 | -0.355 |
| 2 | -0.511 |
| 3 | -0.327 |
| 4 | -0.262 |
| 5 | -0.431 |
| 6 | -0.684 |